Record 1
# PrNbIr | the Alexandria database | PBE-GGA | optimized geometry
# * raw total energy: -8.35 eV per atom
# * formation enthalpy at 0 K: -43.3 kJ per mole of atoms
data_PrNbIr
_chemical_formula_sum 'Pr2 Nb2 Ir2'
_symmetry_space_group_name_H-M 'P 4/n m m'
_symmetry_Int_Tables_number 129
_cell_length_a 4.599
_cell_length_b 4.599
_cell_length_c 6.732
_cell_angle_alpha 90.00
_cell_angle_beta 90.00
_cell_angle_gamma 90.00
loop_
_symmetry_equiv_pos_as_xyz
'x,y,z'
'-x,-y,-z'
'-y+1/2,x,z'
'y+1/2,-x,-z'
'-x+1/2,-y+1/2,z'
'x+1/2,y+1/2,-z'
'y,-x+1/2,z'
'-y,x+1/2,-z'
'x+1/2,-y,-z'
'-x+1/2,y,z'
'-y,-x,-z'
'y,x,z'
'-x,y+1/2,-z'
'x,-y+1/2,z'
'y+1/2,x+1/2,-z'
'-y+1/2,-x+1/2,z'
loop_
_atom_site_label
_atom_site_fract_x
_atom_site_fract_y
_atom_site_fract_z
Pr1 0.250 0.250 0.131
Nb1 0.250 0.750 0.500
Ir1 0.250 0.250 0.682

Record 2
# LiIn2Sb | the Alexandria database | PBE-GGA | optimized geometry
# * raw total energy: -3.02 eV per atom
# * raw formation energy: -3.2 kcal/mol of atoms
data_LiIn2Sb
_chemical_formula_sum 'Li2 In4 Sb2'
_symmetry_space_group_name_H-M 'C m m 2'
_symmetry_Int_Tables_number 35
_cell_length_a 4.597
_cell_length_b 4.607
_cell_length_c 9.138
_cell_angle_alpha 90.00
_cell_angle_beta 90.00
_cell_angle_gamma 90.00
loop_
_symmetry_equiv_pos_as_xyz
'x,y,z'
'-x,-y,z'
'-x,y,z'
'x,-y,z'
'x+1/2,y+1/2,z'
'-x+1/2,-y+1/2,z'
'-x+1/2,y+1/2,z'
'x+1/2,-y+1/2,z'
loop_
_atom_site_label
_atom_site_fract_x
_atom_site_fract_y
_atom_site_fract_z
Li1 0.000 0.000 0.000
In1 0.000 0.000 0.494
In2 0.000 0.500 0.217
Sb1 0.000 0.500 0.794

Record 3
# Rb3Bi4Pt4 | the Alexandria database | PBE-GGA | optimized geometry
# * raw total energy: -4.10 eV per atom
# * formation enthalpy at 0 K: -22.0 kJ per mole of atoms
data_Rb3Bi4Pt4
_chemical_formula_sum 'Rb6 Bi8 Pt8'
_symmetry_space_group_name_H-M 'I m m m'
_symmetry_Int_Tables_number 71
_symmetry_space_group_name_Hall '-I 2 2'
_cell_length_a 4.789
_cell_length_b 5.407
_cell_length_c 26.396
_cell_angle_alpha 90.00
_cell_angle_beta 90.00
_cell_angle_gamma 90.00
loop_
_atom_site_label
_atom_site_fract_x
_atom_site_fract_y
_atom_site_fract_z
Rb1 0.000 0.000 0.000
Rb2 0.000 0.500 0.362
Bi1 0.000 0.000 0.246
Bi2 0.000 0.500 0.098
Pt1 0.000 0.000 0.450
Pt2 0.000 0.500 0.201

Record 4
# MgTe2Ru | the Alexandria database | PBE-GGA | optimized geometry
# * raw total energy: -4.37 eV per atom
# * raw formation energy: -1.8 kcal/mol of atoms
data_MgTe2Ru
_chemical_formula_sum 'Mg1 Te2 Ru1'
_symmetry_space_group_name_H-M 'P 1 m 1'
_symmetry_Int_Tables_number 6
_cell_length_a 4.294
_cell_length_b 5.326
_cell_length_c 4.335
_cell_angle_alpha 90.00
_cell_angle_beta 102.50
_cell_angle_gamma 90.00
loop_
_symmetry_equiv_pos_as_xyz
'x,y,z'
'x,-y,z'
loop_
_atom_site_label
_atom_site_fract_x
_atom_site_fract_y
_atom_site_fract_z
Mg1 0.000 0.000 0.000
Te1 0.403 0.000 0.594
Te2 0.864 0.500 0.128
Ru1 0.266 0.500 0.729

Record 5
# Fe2CoRu2 | the Alexandria database | PBE-GGA | optimized geometry
# * raw total energy: -8.08 eV per atom
# * excess energy over the best structure of this formula in the dataset: 0.50 eV per formula unit
# * formation enthalpy at 0 K: 42.3 kJ per mole of atoms
data_Fe2CoRu2
_chemical_formula_sum 'Fe4 Co2 Ru4'
_symmetry_space_group_name_H-M 'P 4/m b m'
_symmetry_Int_Tables_number 127
_symmetry_space_group_name_Hall '-P 4 2ab'
_cell_length_a 7.029
_cell_length_b 7.029
_cell_length_c 2.610
_cell_angle_alpha 90.00
_cell_angle_beta 90.00
_cell_angle_gamma 90.00
loop_
_atom_site_label
_atom_site_fract_x
_atom_site_fract_y
_atom_site_fract_z
Fe1 0.168 0.332 0.000
Co1 0.000 0.000 0.500
Ru1 0.129 0.629 0.500

Record 6
# Dy3Sn | the Alexandria database | PBE-GGA | optimized geometry
# * raw total energy: -4.81 eV per atom
# * formation enthalpy at 0 K: -34.2 kJ per mole of atoms
data_Dy3Sn
_chemical_formula_sum 'Dy6 Sn2'
_symmetry_space_group_name_H-M 'I m m 2'
_symmetry_Int_Tables_number 44
_cell_length_a 3.556
_cell_length_b 11.063
_cell_length_c 5.853
_cell_angle_alpha 90.00
_cell_angle_beta 90.00
_cell_angle_gamma 90.00
loop_
_symmetry_equiv_pos_as_xyz
'x,y,z'
'-x,-y,z'
'-x,y,z'
'x,-y,z'
'x+1/2,y+1/2,z+1/2'
'-x+1/2,-y+1/2,z+1/2'
'-x+1/2,y+1/2,z+1/2'
'x+1/2,-y+1/2,z+1/2'
loop_
_atom_site_label
_atom_site_fract_x
_atom_site_fract_y
_atom_site_fract_z
Dy1 0.000 0.000 0.000
Dy2 0.000 0.230 0.369
Sn1 0.000 0.500 0.031